Record 1
The following is a PBE calculation of an optimized crystal structure of PrEr2Hg, from Alexandria via LeMat-Bulk.

Geometry as CIF:
```
data_PrEr2Hg
_chemical_formula_sum 'Pr3 Er6 Hg3'
_space_group_name_H-M_alt 'R 3 m'
_space_group_IT_number 160
_space_group_name_Hall 'R 3 -2"'
_cell_length_a 3.6493
_cell_length_b 3.6493
_cell_length_c 31.6868
_cell_angle_alpha 90.00
_cell_angle_beta 90.00
_cell_angle_gamma 120.00
loop_
_atom_site_label
_atom_site_type_symbol
_atom_site_fract_x
_atom_site_fract_y
_atom_site_fract_z
Pr1 Pr 0.0000 0.0000 0.0000
Er1 Er 0.0000 0.0000 0.2402
Er2 Er 0.0000 0.0000 0.4265
Hg1 Hg 0.0000 0.0000 0.8336
```

The energy above the lowest structure with this stoichiometry is 0.085 eV/atom. Its crystal system is trigonal.


Record 2
The following is a PBE calculation of an optimized crystal structure of Pr2Er3Hg4, from Alexandria via LeMat-Bulk.

Geometry as CIF:
```
data_Pr2Er3Hg4
_chemical_formula_sum 'Pr8 Er12 Hg16'
_space_group_name_H-M_alt 'C m c e'
_space_group_IT_number 64
_space_group_name_Hall '-C 2ac 2'
_cell_length_a 6.9968
_cell_length_b 17.7783
_cell_length_c 8.2144
_cell_angle_alpha 90.00
_cell_angle_beta 90.00
_cell_angle_gamma 90.00
loop_
_atom_site_label
_atom_site_type_symbol
_atom_site_fract_x
_atom_site_fract_y
_atom_site_fract_z
Pr1 Pr 0.0000 0.0957 0.0913
Er1 Er 0.0000 0.0000 0.5000
Er2 Er 0.2500 0.2388 0.7500
Hg1 Hg 0.0000 0.1696 0.4734
Hg2 Hg 0.2500 0.0654 0.7500
```

Its crystal system is orthorhombic.


Record 3
The following is a PBE calculation of an optimized crystal structure of Pr5Er4Hg4, from Alexandria via LeMat-Bulk.

Geometry as CIF:
```
data_Pr5Er4Hg4
_chemical_formula_sum 'Pr10 Er8 Hg8'
_space_group_name_H-M_alt 'I 4/m'
_space_group_IT_number 87
_space_group_name_Hall '-I 4'
_cell_length_a 12.3512
_cell_length_b 12.3512
_cell_length_c 5.1600
_cell_angle_alpha 90.00
_cell_angle_beta 90.00
_cell_angle_gamma 90.00
loop_
_atom_site_label
_atom_site_type_symbol
_atom_site_fract_x
_atom_site_fract_y
_atom_site_fract_z
Pr1 Pr 0.0000 0.0000 0.0000
Pr2 Pr 0.1209 0.8130 0.5000
Er1 Er 0.0968 0.5996 0.0000
Hg1 Hg 0.0881 0.2453 0.0000
```

Its crystal system is tetragonal.


Record 4
The following is a PBE calculation of an optimized crystal structure of Pr2Er3Hg2, from Alexandria via LeMat-Bulk.

Geometry as CIF:
```
data_Pr2Er3Hg2
_chemical_formula_sum 'Pr4 Er6 Hg4'
_space_group_name_H-M_alt 'C 1 2/m 1'
_space_group_IT_number 12
_cell_length_a 12.0143
_cell_length_b 4.7650
_cell_length_c 8.2869
_cell_angle_alpha 90.00
_cell_angle_beta 115.97
_cell_angle_gamma 90.00
loop_
_space_group_symop_operation_xyz
'x,y,z'
'-x,-y,-z'
'-x,y,-z'
'x,-y,z'
'x+1/2,y+1/2,z'
'-x+1/2,-y+1/2,-z'
'-x+1/2,y+1/2,-z'
'x+1/2,-y+1/2,z'
loop_
_atom_site_label
_atom_site_type_symbol
_atom_site_fract_x
_atom_site_fract_y
_atom_site_fract_z
Pr1 Pr 0.1355 0.0000 0.2883
Er1 Er 0.0000 0.5000 0.5000
Er2 Er 0.1282 0.5000 0.9549
Hg1 Hg 0.1501 0.0000 0.7023
```

Its crystal system is monoclinic.


| no. | energy relative to the elements (eV per atom) |
| --- | --- |
| 1 | -0.148 |
| 2 | -0.360 |
| 3 | -0.306 |
| 4 | -0.207 |